# 1
Crystalline Co5NiPt6 at its relaxed geometry. Source: Alexandria via LeMat-Bulk, functional GGA-PBE.

Cell lengths 3.8331, 7.4119, 7.0850 Å; angles 121.54, 105.69, 90.00 degrees
Fractional coordinates of all 12 atoms:
Ni 0.0000 0.0000 0.0000
Co 0.6695 0.1695 0.3390
Co 0.3322 0.3322 0.6645
Co 0.0000 0.5000 0.0000
Co 0.6678 0.6678 0.3355
Co 0.3305 0.8305 0.6610
Pt 0.8333 0.5830 0.6666
Pt 0.8333 0.0837 0.6666
Pt 0.5000 0.7501 0.0000
Pt 0.5000 0.2499 0.0000
Pt 0.1667 0.9163 0.3334
Pt 0.1667 0.4170 0.3334

Output
Total moment in μB per atom: 1.062
Final energy in eV/atom: -6.56
Space-group type: Immm, No. 71

# 2
Crystalline LaMnSi at its relaxed geometry. Source: Alexandria via LeMat-Bulk, functional GGA-PBE.

Cell lengths 4.8960, 4.8960, 4.8960 Å; angles 60.00, 60.00, 60.00 degrees
Fractional coordinates of all 3 atoms:
La 0.7500 0.7500 0.7500
Mn 0.0000 0.0000 0.0000
Si 0.5000 0.5000 0.5000

Output
Total moment in μB per atom: 1.527
Space-group type: F-43m, No. 216
Uncorrected formation energy in eV/atom: 0.63

# 3
Crystalline Sc2Co5Si2Sn at its relaxed geometry. Source: Alexandria via LeMat-Bulk, functional GGA-PBE.

Cell lengths 3.3641, 9.0671, 9.0671 Å; angles 90.00, 90.00, 90.00 degrees
Fractional coordinates of all 20 atoms:
Sc 0.0000 0.6776 0.1776
Sc 0.0000 0.3224 0.8224
Sc 0.0000 0.1776 0.3224
Sc 0.0000 0.8224 0.6776
Co 0.5000 0.2197 0.0681
Co 0.5000 0.7803 0.9319
Co 0.5000 0.0681 0.7803
Co 0.5000 0.7197 0.4319
Co 0.5000 0.9319 0.2197
Co 0.5000 0.2803 0.5681
Co 0.5000 0.5681 0.7197
Co 0.5000 0.4319 0.2803
Co 0.5000 0.5000 0.0000
Co 0.5000 0.0000 0.5000
Si 0.0000 0.1179 0.6179
Si 0.0000 0.8821 0.3821
Si 0.0000 0.6179 0.8821
Si 0.0000 0.3821 0.1179
Sn 0.0000 0.0000 0.0000
Sn 0.0000 0.5000 0.5000

Output
Total moment in μB per atom: 0.000
Space-group type: P4/mbm, No. 127
Uncorrected formation energy in eV/atom: -0.53

# 4
Crystalline LaGeSbRh3 at its relaxed geometry. Source: Alexandria via LeMat-Bulk, functional GGA-PBE.

Cell lengths 5.7516, 5.8245, 8.4479 Å; angles 110.17, 90.00, 90.00 degrees
Fractional coordinates of all 12 atoms:
La 0.7500 0.2202 0.4405
La 0.2500 0.7798 0.5595
Ge 0.2500 0.0881 0.1762
Ge 0.7500 0.9119 0.8238
Sb 0.2500 0.4035 0.8070
Sb 0.7500 0.5965 0.1930
Rh 0.2500 0.2413 0.4826
Rh 0.0000 0.2432 0.0000
Rh 0.5000 0.7568 0.0000
Rh 0.5000 0.2432 0.0000
Rh 0.0000 0.7568 0.0000
Rh 0.7500 0.7587 0.5174

Output
Total moment in μB per atom: 0.000
Space-group type: Cmcm, No. 63
Uncorrected formation energy in eV/atom: -0.65

# 5
Crystalline Ho4ErPu3S8 at its relaxed geometry. Source: Alexandria via LeMat-Bulk, functional GGA-PBE.

Cell lengths 7.7981, 7.8297, 7.7980 Å; angles 119.87, 120.00, 90.00 degrees
Fractional coordinates of all 16 atoms:
Ho 0.5000 0.0000 0.0000
Ho 0.5000 0.0000 0.5000
Ho 0.0000 0.0000 0.0000
Ho 0.0000 0.0000 0.5000
Er 0.0000 0.5000 0.0000
Pu 0.5000 0.5000 0.0000
Pu 0.5000 0.5000 0.5000
Pu 0.0000 0.5000 0.5000
S 0.2494 0.7533 0.0038
S 0.2494 0.7532 0.4988
S 0.2484 0.2451 0.4967
S 0.7544 0.7532 0.0038
S 0.2456 0.2468 0.9962
S 0.7516 0.7549 0.5033
S 0.7506 0.2468 0.5012
S 0.7506 0.2467 0.9962

Output
Total moment in μB per atom: 1.074
Space-group type: R-3m, No. 166
Uncorrected formation energy in eV/atom: -1.92

# 6
Crystalline EuTmHgSb at its relaxed geometry. Source: Alexandria via LeMat-Bulk, functional GGA-PBE.

Cell lengths 5.3750, 5.3750, 5.3750 Å; angles 60.00, 60.00, 60.00 degrees
Fractional coordinates of all 4 atoms:
Eu 0.2500 0.2500 0.2500
Sb 0.0000 0.0000 0.0000
Tm 0.7500 0.7500 0.7500
Hg 0.5000 0.5000 0.5000

Output
Total moment in μB per atom: 1.945
Space-group type: F-43m, No. 216
Uncorrected formation energy in eV/atom: -0.60

# 7
Crystalline Zr4HPb2 at its relaxed geometry. Source: Alexandria via LeMat-Bulk, functional GGA-PBE.

Cell lengths 5.6400, 6.0724, 9.2546 Å; angles 90.00, 114.31, 90.00 degrees
Fractional coordinates of all 14 atoms:
Zr 0.5603 0.4976 0.2846
Zr 0.1083 0.7500 0.9409
Zr 0.8917 0.2500 0.0591
Zr 0.5603 0.0024 0.2846
Zr 0.8773 0.2500 0.6471
Zr 0.4397 0.9976 0.7154
Zr 0.4397 0.5024 0.7154
Zr 0.1227 0.7500 0.3529
H 0.2888 0.7500 0.1943
H 0.7112 0.2500 0.8057
Pb 0.6834 0.7500 0.0346
Pb 0.3166 0.2500 0.9654
Pb 0.1575 0.2500 0.4069
Pb 0.8425 0.7500 0.5931

Output
Total moment in μB per atom: 0.000
Energy above the lowest structure with this stoichiometry in eV/atom: 0.008
Space-group type: P2_1/m, No. 11

# 8
Crystalline Tb3YAl4 at its relaxed geometry. Source: Alexandria via LeMat-Bulk, functional GGA-PBE.

Cell lengths 5.1024, 7.2539, 10.2056 Å; angles 90.00, 90.00, 90.00 degrees
Fractional coordinates of all 16 atoms:
Y 0.0000 0.5000 0.0000
Y 0.0000 0.5000 0.5000
Tb 0.0000 0.0000 0.0000
Tb 0.0000 0.0000 0.5000
Tb 0.5004 0.0000 0.7500
Tb 0.4996 0.0000 0.2500
Tb 0.5004 0.5000 0.7500
Tb 0.4996 0.5000 0.2500
Al 0.5000 0.7494 0.0000
Al 0.5000 0.7494 0.5000
Al 0.5000 0.2506 0.0000
Al 0.5000 0.2506 0.5000
Al 0.0005 0.7494 0.7500
Al 0.9995 0.7494 0.2500
Al 0.9995 0.2506 0.2500
Al 0.0005 0.2506 0.7500

Output
Total moment in μB per atom: 0.000
Final energy in eV/atom: -4.82
Space-group type: P4/mmm, No. 123

# 9
Crystalline CeMg4Ti at its relaxed geometry. Source: Alexandria via LeMat-Bulk, functional GGA-PBE.

Cell lengths 5.8529, 5.8529, 5.8529 Å; angles 60.00, 60.00, 60.00 degrees
Fractional coordinates of all 6 atoms:
Mg 0.6256 0.6256 0.1232
Mg 0.6256 0.1232 0.6256
Mg 0.6256 0.6256 0.6256
Mg 0.1232 0.6256 0.6256
Ce 0.2500 0.2500 0.2500
Ti 0.0000 0.0000 0.0000

Output
Total moment in μB per atom: 0.544
Final energy in eV/atom: -3.21
Space-group type: F-43m, No. 216

# 10
Crystalline Pm2Pr2Pd at its relaxed geometry. Source: Alexandria via LeMat-Bulk, functional GGA-PBE.

Cell lengths 7.8274, 7.1464, 8.2243 Å; angles 72.89, 57.50, 56.79 degrees
Fractional coordinates of all 10 atoms:
Pm 0.5712 0.4390 0.7541
Pm 0.4288 0.5610 0.2459
Pm 0.0103 0.5610 0.7541
Pm 0.9897 0.4390 0.2459
Pr 0.8340 0.0000 0.4026
Pr 0.6158 0.0000 0.1236
Pr 0.3842 0.0000 0.8764
Pr 0.1660 0.0000 0.5974
Pd 0.1202 0.7596 0.0000
Pd 0.8798 0.2404 0.0000

Output
Total moment in μB per atom: 0.000
Final energy in eV/atom: -5.06
Space-group type: C2/m, No. 12

# 11
Crystalline CoRh2S4 at its relaxed geometry. Source: Alexandria via LeMat-Bulk, functional GGA-PBE.

Cell lengths 6.8322, 6.8322, 6.8322 Å; angles 60.00, 60.00, 60.00 degrees
Fractional coordinates of all 14 atoms:
Co 0.0000 0.0000 0.0000
Co 0.2500 0.2500 0.2500
Rh 0.1250 0.6250 0.6250
Rh 0.6250 0.6250 0.1250
Rh 0.6250 0.1250 0.6250
Rh 0.6250 0.6250 0.6250
S 0.3826 0.8725 0.8725
S 0.8725 0.8725 0.3826
S 0.8725 0.3826 0.8725
S 0.8725 0.8725 0.8725
S 0.8674 0.3775 0.3775
S 0.3775 0.3775 0.8674
S 0.3775 0.8674 0.3775
S 0.3775 0.3775 0.3775

Output
Total moment in μB per atom: 0.000
Energy above the lowest structure with this stoichiometry in eV/atom: 0.000
Space-group type: Fd-3m, No. 227
Uncorrected formation energy in eV/atom: -0.44

# 12
Crystalline Ba2Ca2In2H at its relaxed geometry. Source: Alexandria via LeMat-Bulk, functional GGA-PBE.

Cell lengths 5.2818, 5.2818, 9.2646 Å; angles 106.56, 106.56, 90.00 degrees
Fractional coordinates of all 7 atoms:
Ba 0.1779 0.1779 0.3558
Ba 0.8221 0.8221 0.6442
Ca 0.0000 0.5000 0.0000
Ca 0.5000 0.0000 0.0000
In 0.3866 0.3866 0.7732
In 0.6134 0.6134 0.2268
H 0.0000 0.0000 0.0000

Output
Total moment in μB per atom: 0.000
Final energy in eV/atom: -2.77
Space-group type: I4/mmm, No. 139

# 13
Crystalline Pr2ZnCo at its relaxed geometry. Source: Alexandria via LeMat-Bulk, functional GGA-PBE.

Cell lengths 3.9510, 3.9510, 9.8906 Å; angles 78.48, 78.48, 60.00 degrees
Fractional coordinates of all 4 atoms:
Pr 0.1141 0.1141 0.6578
Pr 0.8859 0.8859 0.3422
Zn 0.0000 0.0000 0.0000
Co 0.5000 0.5000 0.5000

Output
Total moment in μB per atom: 0.000
Energy above the lowest structure with this stoichiometry in eV/atom: 0.378
Space-group type: R-3m, No. 166

# 14
Crystalline CsNd2USe5 at its relaxed geometry. Source: Alexandria via LeMat-Bulk, functional GGA-PBE.

Cell lengths 5.3261, 7.6678, 8.6229 Å; angles 116.40, 107.99, 90.00 degrees
Fractional coordinates of all 9 atoms:
Cs 0.0000 0.5000 0.0000
Nd 0.2043 0.2043 0.4085
Nd 0.7957 0.7957 0.5915
U 0.5000 0.0000 0.0000
Se 0.6532 0.9193 0.3065
Se 0.3468 0.0807 0.6935
Se 0.3468 0.6128 0.6935
Se 0.6532 0.3872 0.3065
Se 0.0000 0.0000 0.0000

Output
Total moment in μB per atom: 0.304
Space-group type: Immm, No. 71
Uncorrected formation energy in eV/atom: -1.50

# 15
Crystalline CsHfS3 at its relaxed geometry. Source: Alexandria via LeMat-Bulk, functional GGA-PBE.

Cell lengths 19.5642, 8.0721, 8.0721 Å; angles 145.26, 147.54, 32.46 degrees
Fractional coordinates of all 10 atoms:
Cs 0.6398 0.9740 0.0260
Cs 0.3602 0.0260 0.9740
S 0.8877 0.1134 0.8866
S 0.1123 0.8866 0.1134
S 0.9883 0.3386 0.6614
S 0.0117 0.6614 0.3386
S 0.3570 0.7942 0.2058
S 0.6430 0.2058 0.7942
Hf 0.8910 0.9473 0.0527
Hf 0.1090 0.0527 0.9473

Output
Total moment in μB per atom: 0.000
Energy above the lowest structure with this stoichiometry in eV/atom: 0.085
Space-group type: C2/m, No. 12
Uncorrected formation energy in eV/atom: -1.31

# 16
Crystalline LiAsSe2S at its relaxed geometry. Source: Alexandria via LeMat-Bulk, functional GGA-PBE.

Cell lengths 4.3903, 4.3903, 5.2141 Å; angles 90.00, 90.00, 90.00 degrees
Fractional coordinates of all 5 atoms:
As 0.0000 0.0000 0.5000
S 0.5000 0.5000 0.5000
Se 0.0000 0.5000 0.0000
Se 0.5000 0.0000 0.0000
Li 0.0000 0.0000 0.0000

Output
Total moment in μB per atom: 0.000
Energy above the lowest structure with this stoichiometry in eV/atom: 0.364
Space-group type: P4/mmm, No. 123
Uncorrected formation energy in eV/atom: 0.64

# 17
Crystalline La4SbN at its relaxed geometry. Source: Alexandria via LeMat-Bulk, functional GGA-PBE.

Cell lengths 6.2885, 7.5853, 8.1488 Å; angles 106.25, 112.70, 90.01 degrees
Fractional coordinates of all 12 atoms:
La 0.4885 0.0445 0.8070
La 0.6814 0.4555 0.1932
La 0.5115 0.9555 0.1930
La 0.3186 0.5445 0.8068
La 0.8776 0.8182 0.6223
La 0.2553 0.6821 0.3779
La 0.1224 0.1818 0.3777
La 0.7447 0.3179 0.6221
Sb 0.8747 0.7500 0.0000
Sb 0.1253 0.2500 0.0000
N 0.5000 0.0000 0.5000
N 0.0000 0.5000 0.5000

Output
Total moment in μB per atom: 0.000
Space-group type: C2/c, No. 15
Uncorrected formation energy in eV/atom: -0.80

# 18
Crystalline YErAgIr at its relaxed geometry. Source: Alexandria via LeMat-Bulk, functional GGA-PBE.

Cell lengths 4.9575, 4.9575, 4.9575 Å; angles 60.00, 60.00, 60.00 degrees
Fractional coordinates of all 4 atoms:
Y 0.7500 0.7500 0.7500
Ir 0.5000 0.5000 0.5000
Ag 0.0000 0.0000 0.0000
Er 0.2500 0.2500 0.2500

Output
Total moment in μB per atom: 0.000
Final energy in eV/atom: -6.30
Space-group type: F-43m, No. 216

# 19
Crystalline BaMg2CdPb at its relaxed geometry. Source: Alexandria via LeMat-Bulk, functional GGA-PBE.

Cell lengths 5.5823, 5.9903, 5.5823 Å; angles 90.00, 90.00, 90.00 degrees
Fractional coordinates of all 5 atoms:
Pb 0.0000 0.0000 0.0000
Mg 0.0000 0.0000 0.5000
Mg 0.5000 0.0000 0.0000
Ba 0.5000 0.5000 0.5000
Cd 0.0000 0.5000 0.0000

Output
Total moment in μB per atom: 0.000
Final energy in eV/atom: -1.83
Space-group type: P4/mmm, No. 123

# 20
Crystalline Zr2BeAg at its relaxed geometry. Source: Alexandria via LeMat-Bulk, functional GGA-PBE.

Cell lengths 4.0865, 3.2733, 5.7976 Å; angles 73.62, 90.00, 90.00 degrees
Fractional coordinates of all 4 atoms:
Be 0.5000 0.5489 0.7759
Zr 0.0000 0.9656 0.9436
Zr 0.5000 0.3012 0.2736
Ag 0.0000 0.6842 0.5068

Output
Total moment in μB per atom: 0.000
Final energy in eV/atom: -5.89
Space-group type: Amm2, No. 38

# 21
Crystalline Cd2CuOs at its relaxed geometry. Source: Alexandria via LeMat-Bulk, functional GGA-PBE.

Cell lengths 2.8025, 2.8025, 9.6773 Å; angles 90.00, 90.00, 116.38 degrees
Fractional coordinates of all 4 atoms:
Cd 0.0000 0.0000 0.9832
Cd 0.5000 0.5000 0.2745
Cu 0.0000 0.0000 0.5138
Os 0.5000 0.5000 0.7286

Output
Total moment in μB per atom: 0.120
Energy above the lowest structure with this stoichiometry in eV/atom: 0.055
Space-group type: Cmm2, No. 35

# 22
Crystalline Sm3Si2H at its relaxed geometry. Source: Alexandria via LeMat-Bulk, functional GGA-PBE.

Cell lengths 3.9473, 4.5261, 8.6460 Å; angles 105.17, 103.20, 90.00 degrees
Fractional coordinates of all 6 atoms:
Sm 0.0000 0.5000 0.0000
Sm 0.8301 0.8301 0.6602
Sm 0.1699 0.1699 0.3398
Si 0.6441 0.6441 0.2882
Si 0.3559 0.3559 0.7118
H 0.0000 0.0000 0.0000

Output
Total moment in μB per atom: 0.000
Final energy in eV/atom: -5.25
Space-group type: Immm, No. 71

# 23
Crystalline Ca2Sb2O7 at its relaxed geometry. Source: Alexandria via LeMat-Bulk, functional GGA-PBE.

Cell lengths 5.0967, 5.4326, 5.0967 Å; angles 90.00, 98.23, 90.00 degrees
Fractional coordinates of all 11 atoms:
Ca 0.7506 0.5000 0.7506
Ca 0.2494 0.5000 0.2494
Sb 0.7216 0.0000 0.2784
Sb 0.2784 0.0000 0.7216
O 0.9999 0.2365 0.5000
O 0.5000 0.7635 0.9999
O 0.0001 0.7635 0.5000
O 0.5000 0.2365 0.0001
O 0.0000 0.0000 0.0000
O 0.5000 0.7777 0.4999
O 0.5000 0.2223 0.5001

Output
Total moment in μB per atom: 0.000
Space-group type: Cmmm, No. 65
Uncorrected formation energy in eV/atom: -1.83

# 24
Crystalline Zr2RuPb at its relaxed geometry. Source: Alexandria via LeMat-Bulk, functional GGA-PBE.

Cell lengths 6.8906, 5.0653, 3.3219 Å; angles 90.08, 61.05, 121.43 degrees
Fractional coordinates of all 4 atoms:
Pb 0.0000 0.5000 0.5000
Ru 0.5000 0.5000 0.0000
Zr 0.0000 0.0000 0.0000
Zr 0.5000 0.0000 0.5000

Output
Total moment in μB per atom: 0.000
Final energy in eV/atom: -7.64
Space-group type: C2/m, No. 12

Number 1: V 13.6 Å³/atom. Number 2: V 27.7 Å³/atom. Number 3: V 13.8 Å³/atom. Number 4: V 22.1 Å³/atom. Number 5: V 21.1 Å³/atom. Number 6: V 27.5 Å³/atom. Number 7: V 20.6 Å³/atom. Number 8: V 23.6 Å³/atom. Number 9: V 23.6 Å³/atom. Number 10: V 32.5 Å³/atom. Number 11: V 16.1 Å³/atom. Number 12: V 33.8 Å³/atom. Number 13: V 32.5 Å³/atom. Number 14: V 32.9 Å³/atom. Number 15: V 33.9 Å³/atom. Number 16: V 20.1 Å³/atom. Number 17: V 28.5 Å³/atom. Number 18: V 21.5 Å³/atom. Number 19: V 37.3 Å³/atom. Number 20: V 18.6 Å³/atom. Number 21: V 17.0 Å³/atom. Number 22: V 24.1 Å³/atom. Number 23: V 12.7 Å³/atom. Number 24: V 20.4 Å³/atom.